Here is a relaxed structure of ZnNiHg2F8 from Alexandria. Energies are from PBE+U.

It has space group P-1 (No. 2), with a = 5.057 Å, b = 5.159 Å, c = 6.711 Å, α = 90.08°, β = 90.06° and γ = 90.34°. The inequivalent atoms are Zn at (0.000, 0.000, 0.000), Ni at (0.000, 0.000, 0.500), Hg at (0.500, 0.500, 0.252), F at (0.177, 0.176, 0.746), F at (0.177, 0.177, 0.255), F at (0.278, 0.726, 0.500) and F at (0.280, 0.725, 0.000).

The calculation puts the density of states at the Fermi level at 0.000 states/eV per cell. As for the final energy: -3.417 eV per atom. As for the density: 6.4 g cm⁻³.